Entry 1:
## Li2GaBi2 (PBE-GGA)

Data for a relaxed Li2GaBi2 crystal.

calculated formation energy = -65 meV per atom
crystal system = tetragonal
magnetization = 0.00 μB per formula unit
excess energy over the best structure of this formula in the dataset = 125 meV/atom

a b c (Å): 4.723 4.723 12.147
angles (deg): 90.00 90.00 90.00
Space group I4/mmm (No. 139)
Unique sites:
Li  0.000  0.500  0.250
Ga  0.000  0.000  0.000
Bi  0.000  0.000  0.382

***

Entry 2:
## LiLuGaBi (PBE-GGA)

Data for a relaxed LiLuGaBi crystal.

calculated formation energy = -319 meV per atom
crystal system = cubic
magnetization = 0.00 μB per formula unit

a b c (Å): 7.236 7.236 7.236
angles (deg): 90.00 90.00 90.00
Space group F-43m (No. 216)
Unique sites:
Li  0.000  0.000  0.000
Lu  0.000  0.000  0.500
Ga  0.250  0.250  0.250
Bi  0.250  0.250  0.750

***

Entry 3:
## LiMgGaBi (PBE-GGA)

Data for a relaxed LiMgGaBi crystal.

calculated formation energy = -202 meV per atom
crystal system = cubic
magnetization = 0.00 μB per formula unit

a b c (Å): 7.136 7.136 7.136
angles (deg): 90.00 90.00 90.00
Space group F-43m (No. 216)
Unique sites:
Li  0.000  0.000  0.000
Mg  0.000  0.000  0.500
Ga  0.250  0.250  0.250
Bi  0.250  0.250  0.750